4
Lattice="-2.333 -0.658 -2.471 0.196 -2.933 -1.828 -6.648 -5.861 5.413" Properties=species:S:1:pos:R:3 comment="TbIn2Pt, optimized geometry, DFT GGA-PBE" m_tot_mub_per_cell=0.0 dft_energy_ev_per_atom=-4.046 pbc="T T T"
In -3.984 -5.042 -2.169
In -4.801 -4.410 3.283
Pt -4.393 -4.726 0.557
Tb 0.000 0.000 0.000